Record 1
Compound: Pr6Tm3Cd
Source: Alexandria via LeMat-Bulk
Functional: GGA-PBE
Structure: optimized geometry

```
20
Lattice="11.160 0.000 0.000 0.000 5.149 0.000 -0.420 0.000 11.442" Properties=species:S:1:pos:R:3 pbc="T T T"
Pr 0.356 1.287 4.496
Pr 1.516 3.861 2.152
Pr 1.431 1.287 7.908
Pr 2.270 1.287 11.397
Pr 3.559 3.861 9.147
Pr 4.782 1.287 6.883
Pr 5.958 3.861 4.558
Pr 7.180 1.287 2.295
Pr 8.470 3.861 0.045
Pr 9.308 3.861 3.533
Pr 9.223 1.287 9.290
Pr 10.384 3.861 6.945
Tm 2.570 3.861 5.634
Tm 3.762 1.287 3.376
Tm 4.979 3.861 1.139
Tm 5.761 1.287 10.303
Tm 6.978 3.861 8.065
Tm 8.170 1.287 5.807
Cd 0.188 3.861 10.268
Cd 10.552 1.287 1.173
```

Results
- Theoretical density: 7.399 g cm⁻³
- Electronic total energy: -4.319 eV per atom
- Formation energy: -0.0188 eV/atom
- Magnetic moment: 0.0 μB per formula unit

***

Record 2
Compound: Pr14TmCd
Source: Alexandria via LeMat-Bulk
Functional: GGA-PBE
Structure: optimized geometry

```
16
Lattice="10.423 0.000 0.000 0.000 5.159 5.157 0.000 -5.159 5.157" Properties=species:S:1:pos:R:3 pbc="T T T"
Pr 0.000 0.000 0.000
Pr 0.000 2.576 7.734
Pr 0.000 -2.576 7.734
Pr 0.000 0.000 5.157
Pr 2.661 0.000 2.590
Pr 2.663 -2.568 5.156
Pr 2.663 2.568 5.156
Pr 2.667 0.000 7.720
Pr 5.211 -2.575 2.578
Pr 5.211 2.575 2.578
Pr 7.760 -2.568 5.156
Pr 7.760 2.568 5.156
Pr 7.756 0.000 7.720
Pr 7.762 0.000 2.590
Tm 5.211 0.000 10.312
Cd 5.211 0.000 5.151
```

Results
- Theoretical density: 6.749 g cm⁻³
- Electronic total energy: -4.535 eV per atom
- Formation energy: -0.0165 eV/atom
- Magnetic moment: 0.0 μB per formula unit

***

Record 3
Compound: PrTm4Cd2
Source: Alexandria via LeMat-Bulk
Functional: GGA-PBE
Structure: optimized geometry

```
7
Lattice="2.513 1.451 10.413 -2.513 1.451 10.413 0.000 -2.901 10.413" Properties=species:S:1:pos:R:3 pbc="T T T"
Pr 0.000 0.000 0.000
Tm 0.000 0.000 6.289
Tm 0.000 0.000 12.400
Tm 0.000 0.000 18.840
Tm 0.000 0.000 24.951
Cd 0.000 0.000 3.177
Cd 0.000 0.000 28.063
```

Results
- Theoretical density: 7.594 g cm⁻³
- Electronic total energy: -3.287 eV per atom
- Formation energy: 0.2122 eV/atom
- Magnetic moment: 0.6 μB per formula unit

***

Record 4
Compound: Pr2VCd
Source: Alexandria via LeMat-Bulk
Functional: GGA-PBE
Structure: optimized geometry

```
4
Lattice="1.672 0.965 11.435 -1.672 0.965 11.435 0.000 -1.931 11.435" Properties=species:S:1:pos:R:3 pbc="T T T"
Pr 0.000 0.000 2.849
Pr 0.000 0.000 31.456
V 0.000 0.000 0.000
Cd 0.000 0.000 17.152
```

Results
- Theoretical density: 6.676 g cm⁻³
- Electronic total energy: -4.319 eV per atom
- Formation energy: 0.5788 eV/atom
- Magnetic moment: 2.8 μB per formula unit